(1)
DFT (PBE) results for a relaxed structure of ZrZn3Mo.

a = 5.057 Å, b = 5.057 Å, c = 5.057 Å
α = 90.00°, β = 90.00°, γ = 90.00°
Site moments in Bohr magnetons follow the coordinates.
Sites, in units of the cell vectors:
Zn 0.500 0.000 0.000  0.06
Zr 0.000 0.000 0.000  0.28
Zn 0.000 0.000 0.500  0.01
Zn 0.000 0.500 0.000  0.03
Mo 0.500 0.500 0.500  -3.43

Properties
E above lowest polymorph in meV per atom: 778.9



(2)
DFT (PBE) results for a relaxed structure of Zr2ZnMo.

a = 5.494 Å, b = 5.494 Å, c = 5.494 Å
α = 141.85°, β = 131.66°, γ = 63.18°
Sites, in units of the cell vectors:
Zn 0.265 0.765 0.500
Mo 0.488 0.488 0.000
Zr 0.008 0.008 0.000
Zr 0.740 0.240 0.500



(3)
DFT (PBE) results for a relaxed structure of Zr2ZnMo.

a = 2.864 Å, b = 2.864 Å, c = 9.154 Å
α = 90.00°, β = 90.00°, γ = 90.00°
Sites, in units of the cell vectors:
Zn 0.500 0.500 0.735
Mo 0.000 0.000 0.527
Zr 0.500 0.500 0.266
Zr 0.000 0.000 0.972



Formation enthalpy at 0 K / eV/f.u.: 7.962, 0.021, 0.456